VASP calculation (PBE) on a relaxed CePuPa crystal.

Cell and atoms, written as CIF:
```
data_CePuPa
_chemical_formula_sum 'Ce4 Pu4 Pa4'
_cell_length_a 10.721
_cell_length_b 3.301
_cell_length_c 9.295
_cell_angle_alpha 90.00
_cell_angle_beta 114.54
_cell_angle_gamma 90.00
_symmetry_space_group_name_H-M 'C 1 2/m 1'
_symmetry_Int_Tables_number 12
loop_
_symmetry_equiv_pos_as_xyz
'x,y,z'
'-x,-y,-z'
'-x,y,-z'
'x,-y,z'
'x+1/2,y+1/2,z'
'-x+1/2,-y+1/2,-z'
'-x+1/2,y+1/2,-z'
'x+1/2,-y+1/2,z'
loop_
_atom_site_label
_atom_site_fract_x
_atom_site_fract_y
_atom_site_fract_z
Ce1 0.156 0.000 0.070
Pu1 0.008 0.500 0.278
Pa1 0.173 0.000 0.593
```

Summary:
E above lowest polymorph: 0.000 eV/atom
ρ: 13.7 Mg/m³
N(E_F): 2.545 states/eV/atom
Formation energy from the elements: 0.053 eV/atom


VASP calculation (PBE) on a relaxed TcBiTe2N crystal.

Cell and atoms, written as CIF:
```
data_TcBiTe2N
_chemical_formula_sum 'Tc1 Bi1 Te2 N1'
_cell_length_a 5.534
_cell_length_b 5.534
_cell_length_c 3.770
_cell_angle_alpha 90.00
_cell_angle_beta 90.00
_cell_angle_gamma 90.00
_symmetry_space_group_name_H-M 'P 4/m m m'
_symmetry_Int_Tables_number 123
_symmetry_space_group_name_Hall '-P 4 2'
loop_
_atom_site_label
_atom_site_fract_x
_atom_site_fract_y
_atom_site_fract_z
Tc1 0.000 0.000 0.000
Bi1 0.500 0.500 0.500
Te1 0.000 0.500 0.000
N1 0.000 0.000 0.500
```

Summary:
E above lowest polymorph: 0.000 eV/atom
ρ: 8.3 Mg/m³
N(E_F): 0.687 states/eV/atom


VASP calculation (PBE) on a relaxed BaLi2GePt2 crystal.

Cell and atoms, written as CIF:
```
data_BaLi2GePt2
_chemical_formula_sum 'Ba1 Li2 Ge1 Pt2'
_cell_length_a 4.798
_cell_length_b 4.798
_cell_length_c 6.472
_cell_angle_alpha 90.00
_cell_angle_beta 90.00
_cell_angle_gamma 90.00
_symmetry_space_group_name_H-M 'P 4/m m m'
_symmetry_Int_Tables_number 123
_symmetry_space_group_name_Hall '-P 4 2'
loop_
_atom_site_label
_atom_site_fract_x
_atom_site_fract_y
_atom_site_fract_z
Ba1 0.000 0.000 0.000
Li1 0.500 0.500 0.305
Ge1 0.000 0.000 0.500
Pt1 0.000 0.500 0.500
```

Summary:
ρ: 6.8 Mg/m³
N(E_F): 0.390 states/eV/atom
Formation energy from the elements: -0.433 eV/atom


VASP calculation (PBE) on a relaxed Mn2ZnBr crystal.

Cell and atoms, written as CIF:
```
data_Mn2ZnBr
_chemical_formula_sum 'Mn6 Zn3 Br3'
_cell_length_a 3.2305
_cell_length_b 3.2305
_cell_length_c 23.6788
_cell_angle_alpha 90.00
_cell_angle_beta 90.00
_cell_angle_gamma 120.00
_symmetry_space_group_name_H-M 'R -3 m'
_symmetry_Int_Tables_number 166
_symmetry_space_group_name_Hall '-R 3 2"'
loop_
_atom_site_label
_atom_site_fract_x
_atom_site_fract_y
_atom_site_fract_z
Mn1 0.0000 0.0000 0.2461
Zn1 0.0000 0.0000 0.5000
Br1 0.0000 0.0000 0.0000
```

Summary:
E above lowest polymorph: 0.078 eV/atom
ρ: 5.9 Mg/m³
N(E_F): 0.525 states/eV/atom


> Which formula does entry 3 have?

BaLi2GePt2


What did the first record say?
VASP calculation (PBE) on a relaxed CePuPa crystal.

Cell and atoms, written as CIF:
```
data_CePuPa
_chemical_formula_sum 'Ce4 Pu4 Pa4'
_cell_length_a 10.721
_cell_length_b 3.301
_cell_length_c 9.295
_cell_angle_alpha 90.00
_cell_angle_beta 114.54
_cell_angle_gamma 90.00
_symmetry_space_group_name_H-M 'C 1 2/m 1'
_symmetry_Int_Tables_number 12
loop_
_symmetry_equiv_pos_as_xyz
'x,y,z'
'-x,-y,-z'
'-x,y,-z'
'x,-y,z'
'x+1/2,y+1/2,z'
'-x+1/2,-y+1/2,-z'
'-x+1/2,y+1/2,-z'
'x+1/2,-y+1/2,z'
loop_
_atom_site_label
_atom_site_fract_x
_atom_site_fract_y
_atom_site_fract_z
Ce1 0.156 0.000 0.070
Pu1 0.008 0.500 0.278
Pa1 0.173 0.000 0.593
```

Summary:
E above lowest polymorph: 0.000 eV/atom
ρ: 13.7 Mg/m³
N(E_F): 2.545 states/eV/atom
Formation energy from the elements: 0.053 eV/atom


> Which formula does entry 3 have?

BaLi2GePt2


Copy entry 3 word for word.
VASP calculation (PBE) on a relaxed BaLi2GePt2 crystal.

Cell and atoms, written as CIF:
```
data_BaLi2GePt2
_chemical_formula_sum 'Ba1 Li2 Ge1 Pt2'
_cell_length_a 4.798
_cell_length_b 4.798
_cell_length_c 6.472
_cell_angle_alpha 90.00
_cell_angle_beta 90.00
_cell_angle_gamma 90.00
_symmetry_space_group_name_H-M 'P 4/m m m'
_symmetry_Int_Tables_number 123
_symmetry_space_group_name_Hall '-P 4 2'
loop_
_atom_site_label
_atom_site_fract_x
_atom_site_fract_y
_atom_site_fract_z
Ba1 0.000 0.000 0.000
Li1 0.500 0.500 0.305
Ge1 0.000 0.000 0.500
Pt1 0.000 0.500 0.500
```

Summary:
ρ: 6.8 Mg/m³
N(E_F): 0.390 states/eV/atom
Formation energy from the elements: -0.433 eV/atom